Record 1
Material: NpUN2
Method: DFT, PBE
State: relaxed

Lattice parameters (Å, degrees): 3.3831 3.3831 17.7756 90.00 90.00 120.00
Last column: nearest neighbours and their distance in Å.
Space group R3m (No. 160, hexagonal axes)
Inequivalent atoms, fractional coordinates:
Np  0.0000  0.0000  0.0000 x3  6 N 2.44-2.55
U  0.0000  0.0000  0.8271 x3  6 N 2.39-2.42
N  0.0000  0.0000  0.2412 x3  3 U 2.43, 3 Np 2.55
N  0.0000  0.0000  0.4158 x3  3 U 2.39, 3 Np 2.44

VASP energy = -11.2053 eV/atom
Magnetic moment = 5.01 μB per formula unit
DOS(E_F) = 25.001 states/eV per cell
E_form (uncorrected) = -3.9 eV per formula unit

---

Record 2
Material: AcDy2IO8
Method: DFT, PBE
State: relaxed

Lattice parameters (Å, degrees): 5.0893 7.1354 5.0954 90.00 91.30 90.00
Last column: nearest neighbours and their distance in Å.
Space group P2/m (No. 10)
Inequivalent atoms, fractional coordinates:
Ac  0.0000  0.0000  0.0000 x1  6 O 2.36-2.55
Dy  0.5000  0.2503  0.5000 x2  4 O 2.20-2.27
I  0.0000  0.5000  0.0000 x1  6 O 1.91
O  0.1854  0.3062  0.1864 x4  1 I 1.91
O  0.2632  0.5000  0.7383 x2  1 I 1.91
O  0.3254  0.0000  0.6770 x2  2 Dy 2.20, 1 Ac 2.36

VASP energy = -6.8414 eV/atom
Magnetic moment = 0.00 μB per formula unit
E_form (uncorrected) = -27.6 eV per formula unit

---

Record 3
Material: CeSc5Ga3
Method: DFT, PBE
State: relaxed

Lattice parameters (Å, degrees): 8.4810 8.4810 6.1192 90.00 90.00 120.00
Last column: nearest neighbours and their distance in Å.
Space group P6_3/mcm (No. 193)
Inequivalent atoms, fractional coordinates:
Ce  0.0000  0.0000  0.0000 x2  2 Ce 3.06, 6 Sc 3.19, 6 Ga 3.29
Sc  0.0000  0.3306  0.2500 x6  5 Ga 2.76-3.06
Sc  0.3333  0.6667  0.0000 x4  8 Sc 3.06-3.22, 6 Ga 3.18
Ga  0.0000  0.3436  0.7500 x6  5 Sc 2.76-3.06

Formation energy from the elements = -0.45 eV per atom
VASP energy = -5.6326 eV/atom
Magnetic moment = 1.04 μB per formula unit
DOS(E_F) = 24.068 states/eV per cell